HgHRh2: optimized geometry, PBE-GGA.

Summary:
Distance to the lowest polymorph of the same formula, eV per atom: 0.0000
Size of the total moment, μB per formula unit: 0.53

Unit cell a=2.9362 b=2.9362 c=6.8681 alpha=90.00 beta=90.00 gamma=120.00
Space group P-3m1 (No. 164)
One atom of each set of equivalent atoms:
Hg  0.0000  0.0000  0.0000 [1 per cell]
H  0.0000  0.0000  0.5000 [1 per cell]
Rh  0.3333  0.6667  0.6611 [2 per cell]